(1)
A geometry-optimized Y6Pd5Ru structure. Source: Alexandria, functional PBE.

Geometry as POSCAR:
```
Y6Pd5Ru
1.0
4.717 -0.028 1.572
0.037 6.956 0.012
0.006 -0.014 7.845
Y Ru Pd
6 1 5
direct
0.837 0.753 0.326
0.837 0.247 0.326
0.500 0.244 0.000
0.500 0.756 0.000
0.163 0.753 0.674
0.163 0.247 0.674
0.000 0.000 0.000
0.668 0.500 0.664
0.333 0.000 0.335
0.000 0.500 0.000
0.667 0.000 0.665
0.332 0.500 0.336
```

Properties
Energy   -83.60 eV/f.u.
Space-group type   Cmmm, No. 65


(2)
A geometry-optimized Zn4CdIr structure. Source: Alexandria, functional PBE.

Geometry as POSCAR:
```
Zn4CdIr
1.0
1.802 -4.048 2.375
-0.583 -0.464 4.972
-3.161 -3.444 1.850
Zn Cd Ir
4 1 1
direct
0.877 0.374 0.374
0.374 0.374 0.877
0.374 0.877 0.374
0.374 0.374 0.374
0.750 0.750 0.750
0.000 0.000 0.000
```

Properties
Energy   -14.86 eV/f.u.
Space-group type   F-43m, No. 216


(3)
A geometry-optimized Sr4P2Br structure. Source: Alexandria, functional PBE.

Geometry as POSCAR:
```
Sr4P2Br
1.0
4.421 0.000 0.642
2.164 3.855 0.642
0.052 0.030 15.178
Sr P Br
4 2 1
direct
0.118 0.118 0.645
0.284 0.284 0.147
0.716 0.716 0.853
0.882 0.882 0.355
0.417 0.417 0.749
0.583 0.583 0.251
0.000 0.000 0.000
```

Properties
Uncorrected formation energy   -1.2630 eV per atom
Energy above the most stable polymorph in this dataset   0.0000 eV per atom
Space-group type   R-3m, No. 166


(4)
A geometry-optimized PmHfSb2 structure. Source: Alexandria, functional PBE.

Geometry as POSCAR:
```
PmHfSb2
1.0
-1.113 -1.842 2.890
-1.755 -2.303 -2.144
6.362 -4.474 -0.400
Sb Hf Pm
2 1 1
direct
0.000 0.000 0.779
0.000 0.000 0.221
0.500 0.500 0.000
0.500 0.500 0.500
```

Properties
Uncorrected formation energy   -0.5497 eV per atom
Energy above the most stable polymorph in this dataset   0.2319 eV per atom
Space-group type   P4/mmm, No. 123


(5)
A geometry-optimized HoMgTlSn structure. Source: Alexandria, functional PBE.

Geometry as POSCAR:
```
HoMgTlSn
1.0
-1.971 -4.872 0.295
2.944 -3.919 1.921
-1.145 -2.097 4.691
Mg Tl Ho Sn
1 1 1 1
direct
0.000 0.000 0.000
0.750 0.750 0.750
0.500 0.500 0.500
0.250 0.250 0.250
```

Properties
Energy above the most stable polymorph in this dataset   0.1438 eV per atom
Space-group type   F-43m, No. 216


(6)
A geometry-optimized TbZrN structure. Source: Alexandria, functional PBE.

Geometry as POSCAR:
```
TbZrN
1.0
6.488 2.549 0.000
1.411 6.827 0.000
-3.950 -4.688 5.702
Zr Tb N
4 4 4
direct
0.740 0.260 0.000
0.990 0.010 0.500
0.260 0.740 0.000
0.510 0.490 0.500
0.759 0.759 0.518
0.241 0.241 0.482
0.009 0.509 0.018
0.491 0.991 0.982
0.625 0.375 0.750
0.125 0.375 0.750
0.625 0.875 0.250
0.625 0.375 0.250
```

Properties
Uncorrected formation energy   -0.4575 eV per atom
Energy above the most stable polymorph in this dataset   0.5825 eV per atom
Space-group type   Fddd, No. 70